VASP calculation (PBE) on crystalline CoIrBr2 at its relaxed geometry.

Unit cell a=3.3627 b=3.3627 c=23.6955 alpha=90.00 beta=90.00 gamma=120.00
Space group R-3m (No. 166, hexagonal axes)
Symmetry-distinct sites (fractional):
Co: 0.0000 0.0000 0.0000 [3 per cell]
Ir: 0.0000 0.0000 0.5000 [3 per cell]
Br: 0.0000 0.0000 0.3980 [6 per cell]

D(E_F) = 21.98 states/eV/cell
ΔE to the lowest computed polymorph = 401 meV/atom

---

VASP calculation (PBE) on crystalline CoIrBr2 at its relaxed geometry.

Unit cell a=3.0664 b=5.8903 c=8.2338 alpha=90.00 beta=90.00 gamma=90.00
Space group Cmmm (No. 65)
Symmetry-distinct sites (fractional):
Co: 0.0000 0.0000 0.0000 [2 per cell]
Ir: 0.0000 0.0000 0.5000 [2 per cell]
Br: 0.0000 0.5000 0.2340 [4 per cell]

D(E_F) = 12.11 states/eV/cell
ΔE to the lowest computed polymorph = 685 meV/atom

---

VASP calculation (PBE) on crystalline CoIr2Br at its relaxed geometry.

Unit cell a=4.0281 b=4.0281 c=7.3644 alpha=90.00 beta=90.00 gamma=90.00
Space group I4/mmm (No. 139)
Symmetry-distinct sites (fractional):
Co: 0.0000 0.0000 0.0000 [2 per cell]
Ir: 0.0000 0.5000 0.2500 [4 per cell]
Br: 0.0000 0.0000 0.5000 [2 per cell]

D(E_F) = 9.49 states/eV/cell
ΔE to the lowest computed polymorph = 507 meV/atom

---

VASP calculation (PBE) on crystalline Co3IrBr9 at its relaxed geometry.

Unit cell a=17.6222 b=9.0065 c=12.7560 alpha=90.00 beta=127.22 gamma=90.00
Space group Cc (No. 9)
Symmetry-distinct sites (fractional):
Co: 0.0000 0.0385 0.0000 [4 per cell]
Co: 0.1101 0.3870 0.9125 [4 per cell]
Co: 0.3624 0.0832 0.5498 [4 per cell]
Ir: 0.2403 0.2753 0.7323 [4 per cell]
Br: 0.0880 0.1514 0.6627 [4 per cell]
Br: 0.1117 0.1346 0.9714 [4 per cell]
Br: 0.1439 0.4985 0.1055 [4 per cell]
Br: 0.2297 0.1930 0.5320 [4 per cell]
Br: 0.2516 0.3886 0.9222 [4 per cell]
Br: 0.3303 0.0392 0.8584 [4 per cell]
Br: 0.3858 0.4205 0.7978 [4 per cell]
Br: 0.4482 0.0984 0.2210 [4 per cell]
Br: 0.4777 0.2767 0.6138 [4 per cell]

D(E_F) = 3.79 states/eV/cell

---

VASP calculation (PBE) on crystalline Co2IrBr at its relaxed geometry.

Unit cell a=6.1626 b=6.1626 c=6.1626 alpha=90.00 beta=90.00 gamma=90.00
Space group F-43m (No. 216)
Symmetry-distinct sites (fractional):
Co: 0.0000 0.0000 0.0000 [4 per cell]
Co: 0.2500 0.2500 0.2500 [4 per cell]
Ir: 0.2500 0.2500 0.7500 [4 per cell]
Br: 0.0000 0.0000 0.5000 [4 per cell]

D(E_F) = 21.99 states/eV/cell
ΔE to the lowest computed polymorph = 525 meV/atom

---

VASP calculation (PBE) on crystalline Co2IrBr at its relaxed geometry.

Unit cell a=7.9254 b=2.9516 c=6.4403 alpha=90.00 beta=98.21 gamma=90.00
Space group Cm (No. 8)
Symmetry-distinct sites (fractional):
Co: 0.0000 0.0000 0.0000 [2 per cell]
Co: 0.2211 0.5000 0.1405 [2 per cell]
Ir: 0.2680 0.0000 0.8351 [2 per cell]
Br: 0.1744 0.5000 0.4979 [2 per cell]

D(E_F) = 8.19 states/eV/cell
ΔE to the lowest computed polymorph = 151 meV/atom

---

VASP calculation (PBE) on crystalline CoIr2Br at its relaxed geometry.

Unit cell a=4.6093 b=4.6093 c=2.8464 alpha=90.00 beta=90.00 gamma=90.00
Space group P4/mmm (No. 123)
Symmetry-distinct sites (fractional):
Co: 0.0000 0.0000 0.0000 [1 per cell]
Ir: 0.0000 0.5000 0.5000 [2 per cell]
Br: 0.5000 0.5000 0.0000 [1 per cell]

D(E_F) = 6.52 states/eV/cell
ΔE to the lowest computed polymorph = 536 meV/atom

---

VASP calculation (PBE) on crystalline CoIrBr2 at its relaxed geometry.

Unit cell a=3.7931 b=5.8876 c=8.3191 alpha=90.00 beta=90.00 gamma=90.00
Space group Cmm2 (No. 35)
Symmetry-distinct sites (fractional):
Co: 0.0000 0.0000 0.0000 [2 per cell]
Ir: 0.0000 0.5000 0.8449 [2 per cell]
Br: 0.0000 0.0000 0.6286 [2 per cell]
Br: 0.0000 0.5000 0.1891 [2 per cell]

D(E_F) = 7.46 states/eV/cell
ΔE to the lowest computed polymorph = 226 meV/atom

---

VASP calculation (PBE) on crystalline Co2IrBr at its relaxed geometry.

Unit cell a=2.8087 b=3.3764 c=6.8338 alpha=90.00 beta=90.00 gamma=90.00
Space group Pmmm (No. 47)
Symmetry-distinct sites (fractional):
Co: 0.0000 0.0000 0.1904 [2 per cell]
Ir: 0.5000 0.5000 0.0000 [1 per cell]
Br: 0.5000 0.0000 0.5000 [1 per cell]

D(E_F) = 4.45 states/eV/cell
ΔE to the lowest computed polymorph = 0 meV/atom

---

VASP calculation (PBE) on crystalline CoIrBr2 at its relaxed geometry.

Unit cell a=3.2197 b=3.2197 c=23.1550 alpha=90.00 beta=90.00 gamma=120.00
Space group R-3m (No. 166, hexagonal axes)
Symmetry-distinct sites (fractional):
Co: 0.0000 0.0000 0.0000 [3 per cell]
Ir: 0.0000 0.0000 0.5000 [3 per cell]
Br: 0.0000 0.0000 0.2614 [6 per cell]

D(E_F) = 17.05 states/eV/cell
ΔE to the lowest computed polymorph = 608 meV/atom

---

VASP calculation (PBE) on crystalline CoIrBr2 at its relaxed geometry.

Unit cell a=5.7143 b=5.7143 c=10.9145 alpha=90.00 beta=90.00 gamma=90.00
Space group I-42d (No. 122)
Symmetry-distinct sites (fractional):
Co: 0.0000 0.0000 0.0000 [4 per cell]
Ir: 0.0000 0.0000 0.5000 [4 per cell]
Br: 0.2332 0.2500 0.1250 [8 per cell]

D(E_F) = 20.61 states/eV/cell
ΔE to the lowest computed polymorph = 591 meV/atom

---

VASP calculation (PBE) on crystalline Co2IrBr at its relaxed geometry.

Unit cell a=2.9176 b=4.3783 c=4.5212 alpha=90.00 beta=90.00 gamma=90.00
Space group Pmmm (No. 47)
Symmetry-distinct sites (fractional):
Co: 0.0000 0.0000 0.0000 [1 per cell]
Co: 0.5000 0.0000 0.5000 [1 per cell]
Ir: 0.0000 0.5000 0.5000 [1 per cell]
Br: 0.5000 0.5000 0.0000 [1 per cell]

D(E_F) = 6.37 states/eV/cell
ΔE to the lowest computed polymorph = 459 meV/atom

---

VASP calculation (PBE) on crystalline CoIrBr2 at its relaxed geometry.

Unit cell a=6.4981 b=6.4981 c=6.4981 alpha=90.00 beta=90.00 gamma=90.00
Space group Fm-3m (No. 225)
Symmetry-distinct sites (fractional):
Co: 0.0000 0.0000 0.0000 [4 per cell]
Ir: 0.0000 0.0000 0.5000 [4 per cell]
Br: 0.2500 0.2500 0.2500 [8 per cell]

D(E_F) = 36.13 states/eV/cell
ΔE to the lowest computed polymorph = 855 meV/atom

---

VASP calculation (PBE) on crystalline Co2IrBr at its relaxed geometry.

Unit cell a=4.0458 b=4.0458 c=7.0152 alpha=90.00 beta=90.00 gamma=90.00
Space group I4/mmm (No. 139)
Symmetry-distinct sites (fractional):
Co: 0.0000 0.5000 0.2500 [4 per cell]
Ir: 0.0000 0.0000 0.0000 [2 per cell]
Br: 0.0000 0.0000 0.5000 [2 per cell]

D(E_F) = 11.18 states/eV/cell
ΔE to the lowest computed polymorph = 478 meV/atom

---

VASP calculation (PBE) on crystalline CoIr2Br at its relaxed geometry.

Unit cell a=2.7572 b=4.8665 c=9.8228 alpha=90.00 beta=90.00 gamma=90.00
Space group Cmm2 (No. 35)
Symmetry-distinct sites (fractional):
Co: 0.0000 0.0000 0.0000 [2 per cell]
Ir: 0.0000 0.0000 0.5553 [2 per cell]
Ir: 0.0000 0.5000 0.7866 [2 per cell]
Br: 0.0000 0.5000 0.2179 [2 per cell]

D(E_F) = 12.98 states/eV/cell
ΔE to the lowest computed polymorph = 223 meV/atom

---

VASP calculation (PBE) on crystalline CoIr2Br at its relaxed geometry.

Unit cell a=8.4878 b=2.8401 c=7.7052 alpha=90.00 beta=122.86 gamma=90.00
Space group Cm (No. 8)
Symmetry-distinct sites (fractional):
Co: 0.0000 0.0000 0.0000 [2 per cell]
Ir: 0.1338 0.5000 0.8274 [2 per cell]
Ir: 0.2894 0.0000 0.6849 [2 per cell]
Br: 0.1417 0.5000 0.3112 [2 per cell]

D(E_F) = 10.58 states/eV/cell
ΔE to the lowest computed polymorph = 74 meV/atom

---

VASP calculation (PBE) on crystalline CoIr2Br at its relaxed geometry.

Unit cell a=2.7120 b=2.7120 c=36.2732 alpha=90.00 beta=90.00 gamma=120.00
Space group R-3m (No. 166, hexagonal axes)
Symmetry-distinct sites (fractional):
Co: 0.0000 0.0000 0.0000 [3 per cell]
Ir: 0.0000 0.0000 0.2766 [6 per cell]
Br: 0.0000 0.0000 0.5000 [3 per cell]

D(E_F) = 13.98 states/eV/cell
ΔE to the lowest computed polymorph = 80 meV/atom

---

VASP calculation (PBE) on crystalline CoIrBr2 at its relaxed geometry.

Unit cell a=6.3090 b=8.1948 c=3.3170 alpha=90.00 beta=114.67 gamma=90.00
Space group C2/m (No. 12)
Symmetry-distinct sites (fractional):
Co: 0.0000 0.0000 0.0000 [2 per cell]
Ir: 0.0000 0.5000 0.0000 [2 per cell]
Br: 0.2500 0.2500 0.0000 [4 per cell]

D(E_F) = 11.07 states/eV/cell
ΔE to the lowest computed polymorph = 687 meV/atom

---

VASP calculation (PBE) on crystalline CoIr2Br at its relaxed geometry.

Unit cell a=5.6479 b=7.4785 c=2.8461 alpha=90.00 beta=90.00 gamma=90.00
Space group Cmmm (No. 65)
Symmetry-distinct sites (fractional):
Co: 0.0000 0.0000 0.0000 [2 per cell]
Ir: 0.2500 0.2500 0.5000 [4 per cell]
Br: 0.0000 0.5000 0.0000 [2 per cell]

D(E_F) = 12.49 states/eV/cell
ΔE to the lowest computed polymorph = 477 meV/atom

---

VASP calculation (PBE) on crystalline CoIr2Br at its relaxed geometry.

Unit cell a=2.8030 b=3.5504 c=6.7507 alpha=90.00 beta=90.00 gamma=90.00
Space group Pmm2 (No. 25)
Symmetry-distinct sites (fractional):
Co: 0.0000 0.0000 0.0000 [1 per cell]
Ir: 0.0000 0.0000 0.6188 [1 per cell]
Ir: 0.5000 0.5000 0.8133 [1 per cell]
Br: 0.0000 0.5000 0.2987 [1 per cell]

D(E_F) = 4.79 states/eV/cell
ΔE to the lowest computed polymorph = 0 meV/atom

---

VASP calculation (PBE) on crystalline CoIrBr2 at its relaxed geometry.

Unit cell a=4.6070 b=4.6070 c=3.2363 alpha=90.00 beta=90.00 gamma=90.00
Space group P4/mmm (No. 123)
Symmetry-distinct sites (fractional):
Co: 0.0000 0.0000 0.0000 [1 per cell]
Ir: 0.5000 0.5000 0.0000 [1 per cell]
Br: 0.0000 0.5000 0.5000 [2 per cell]

D(E_F) = 5.27 states/eV/cell
ΔE to the lowest computed polymorph = 800 meV/atom

---

VASP calculation (PBE) on crystalline CoIrBr2 at its relaxed geometry.

Unit cell a=3.6239 b=3.6239 c=12.3614 alpha=90.00 beta=90.00 gamma=90.00
Space group I-4m2 (No. 119)
Symmetry-distinct sites (fractional):
Co: 0.0000 0.0000 0.0000 [2 per cell]
Ir: 0.0000 0.5000 0.7500 [2 per cell]
Br: 0.0000 0.0000 0.5000 [2 per cell]
Br: 0.0000 0.5000 0.2500 [2 per cell]

D(E_F) = 14.96 states/eV/cell
ΔE to the lowest computed polymorph = 758 meV/atom

---

VASP calculation (PBE) on crystalline CoIr2Br at its relaxed geometry.

Unit cell a=2.8240 b=2.8240 c=8.0116 alpha=90.00 beta=90.00 gamma=90.00
Space group P4mm (No. 99)
Symmetry-distinct sites (fractional):
Co: 0.0000 0.0000 0.0000 [1 per cell]
Ir: 0.0000 0.0000 0.4394 [1 per cell]
Ir: 0.5000 0.5000 0.2175 [1 per cell]
Br: 0.5000 0.5000 0.7809 [1 per cell]

D(E_F) = 5.21 states/eV/cell
ΔE to the lowest computed polymorph = 127 meV/atom

---

VASP calculation (PBE) on crystalline Co2IrBr at its relaxed geometry.

Unit cell a=2.7996 b=2.7996 c=28.2941 alpha=90.00 beta=90.00 gamma=120.00
Space group R3m (No. 160, hexagonal axes)
Symmetry-distinct sites (fractional):
Co: 0.0000 0.0000 0.0000 [3 per cell]
Co: 0.0000 0.0000 0.2668 [3 per cell]
Ir: 0.0000 0.0000 0.7369 [3 per cell]
Br: 0.0000 0.0000 0.5299 [3 per cell]

D(E_F) = 18.56 states/eV/cell
ΔE to the lowest computed polymorph = 179 meV/atom

---

VASP calculation (PBE) on crystalline CoIrBr2 at its relaxed geometry.

Unit cell a=6.2083 b=3.5839 c=8.5163 alpha=90.00 beta=105.70 gamma=90.00
Space group Cm (No. 8)
Symmetry-distinct sites (fractional):
Co: 0.0000 0.0000 0.0000 [2 per cell]
Ir: 0.1119 0.5000 0.8522 [2 per cell]
Br: 0.2040 0.0000 0.6515 [2 per cell]
Br: 0.4023 0.0000 0.1859 [2 per cell]

D(E_F) = 7.05 states/eV/cell
ΔE to the lowest computed polymorph = 0 meV/atom

---

VASP calculation (PBE) on crystalline Co2IrBr at its relaxed geometry.

Unit cell a=2.9434 b=2.9434 c=6.9480 alpha=90.00 beta=90.00 gamma=90.00
Space group P4/mmm (No. 123)
Symmetry-distinct sites (fractional):
Co: 0.0000 0.0000 0.2261 [2 per cell]
Ir: 0.5000 0.5000 0.0000 [1 per cell]
Br: 0.5000 0.5000 0.5000 [1 per cell]

D(E_F) = 6.61 states/eV/cell
ΔE to the lowest computed polymorph = 142 meV/atom

---

VASP calculation (PBE) on crystalline CoIr2Br at its relaxed geometry.

Unit cell a=2.9904 b=2.9904 c=6.9688 alpha=90.00 beta=90.00 gamma=90.00
Space group P4/mmm (No. 123)
Symmetry-distinct sites (fractional):
Co: 0.0000 0.0000 0.0000 [1 per cell]
Ir: 0.5000 0.5000 0.1942 [2 per cell]
Br: 0.0000 0.0000 0.5000 [1 per cell]

D(E_F) = 4.87 states/eV/cell
ΔE to the lowest computed polymorph = 222 meV/atom

---

VASP calculation (PBE) on crystalline Co2IrBr at its relaxed geometry.

Unit cell a=2.8962 b=2.8962 c=23.9907 alpha=90.00 beta=90.00 gamma=120.00
Space group R-3m (No. 166, hexagonal axes)
Symmetry-distinct sites (fractional):
Co: 0.0000 0.0000 0.2489 [6 per cell]
Ir: 0.0000 0.0000 0.5000 [3 per cell]
Br: 0.0000 0.0000 0.0000 [3 per cell]

D(E_F) = 18.06 states/eV/cell
ΔE to the lowest computed polymorph = 128 meV/atom

---

VASP calculation (PBE) on crystalline Co3IrBr at its relaxed geometry.

Unit cell a=4.2673 b=4.2673 c=4.2673 alpha=90.00 beta=90.00 gamma=90.00
Space group Pm-3m (No. 221)
Symmetry-distinct sites (fractional):
Co: 0.0000 0.0000 0.5000 [3 per cell]
Ir: 0.5000 0.5000 0.5000 [1 per cell]
Br: 0.0000 0.0000 0.0000 [1 per cell]

D(E_F) = 7.34 states/eV/cell
ΔE to the lowest computed polymorph = 126 meV/atom

---

no.,calculated density (Mg/m³),total energy (eV per atom)
1,8.82,-4.177
2,9.18,-3.893
3,14.54,-5.591
4,4.48,-3.682
5,11.07,-5.224
6,8.69,-5.598
7,14.37,-5.562
8,7.35,-4.352
9,9.99,-5.749
10,9.85,-3.970
11,7.66,-3.987
12,11.21,-5.290
13,9.95,-3.723
14,11.28,-5.271
15,13.19,-5.874
16,11.14,-6.024
17,11.28,-6.017
18,8.76,-3.891
19,14.46,-5.621
20,12.93,-6.098
21,9.93,-3.778
22,8.41,-3.820
23,13.60,-5.971
24,10.12,-5.570
25,7.48,-4.578
26,10.76,-5.607
27,13.94,-5.876
28,11.15,-5.621
29,9.59,-4.980